Entry 1:
NdCuHgAu: optimized geometry, PBE-GGA.

abc: 6.998 6.998 6.998
angles: 90.00 90.00 90.00
Space group F-43m (No. 216)
One atom of each set of equivalent atoms:
Nd 0.000 0.000 0.000 (multiplicity 4)
Cu 0.250 0.250 0.750 (multiplicity 4)
Hg 0.000 0.000 0.500 (multiplicity 4)
Au 0.250 0.250 0.250 (multiplicity 4)

**Formation energy from the elements**: -0.35 eV/atom
**Total magnetization**: 0.00 Bohr magnetons per cell
**VASP energy**: -0.1272 hartree per atom


Entry 2:
SrLaCu2Ge2: optimized geometry, PBE-GGA.

abc: 4.2838 4.2838 8.6959
angles: 90.00 90.00 120.00
Space group P-3m1 (No. 164)
One atom of each set of equivalent atoms:
Sr 0.0000 0.0000 0.0000 (multiplicity 1)
La 0.0000 0.0000 0.5000 (multiplicity 1)
Cu 0.3333 0.6667 0.7416 (multiplicity 2)
Ge 0.3333 0.6667 0.2638 (multiplicity 2)

**Formation energy from the elements**: -0.56 eV/atom
**Total magnetization**: 0.00 Bohr magnetons per cell
**VASP energy**: -0.1677 hartree per atom